YSc3 SCAN PBEsol geometry; energy above the most stable polymorph in this dataset = 0.11 eV/f.u.; calculated formation energy = 0.04 eV/atom
1.0
3.3518 0.0000 0.0000
-1.6759 2.9028 0.0000
0.0000 0.0000 10.3773
Y Sc
1 3
Cartesian
0.0000 0.0000 0.0000
0.0000 0.0000 5.1887
0.0000 1.9352 2.7055
0.0000 1.9352 7.6718


AlNi3 SCAN PBEsol geometry; calculated formation energy = -0.37 eV/atom
1.0
2.5763 0.0000 0.0000
0.0000 3.3517 0.0000
0.0000 0.0000 5.0683
Al Ni
1 3
Cartesian
0.0000 0.0000 0.0000
0.0000 0.0000 2.5341
1.2882 1.6758 1.2907
1.2882 1.6758 3.7776


ScAgTe2 SCAN PBEsol geometry; formation energy without anion corrections = -698 meV per atom
1.0
-1.9273 1.9863 6.6374
1.9273 -1.9863 6.6374
1.9273 1.9863 -6.6374
Sc Ag Te
1 1 2
Cartesian
0.0000 0.0000 0.0000
0.0000 1.9863 2.6237
1.9273 0.0000 2.1811
0.0000 0.0000 5.5180


Mg2BF2 SCAN PBEsol geometry; formation energy without anion corrections = -1234 meV per atom
1.0
6.8717 0.0000 0.0000
0.0000 6.8717 0.0000
0.0000 0.0000 3.4596
Mg B F
4 2 4
Cartesian
1.4821 1.9538 0.0000
1.9538 5.3896 0.0000
4.9180 1.4821 0.0000
5.3896 4.9180 0.0000
0.0000 0.0000 0.0000
3.4359 3.4359 0.0000
0.9310 2.5049 1.7298
2.5049 5.9408 1.7298
4.3669 0.9310 1.7298
5.9408 4.3669 1.7298